(1)
Here is a geometry-optimized ZnCd3Rh structure from Alexandria via LeMat-Bulk. Energies are from PBE-GGA.

POSCAR file:
```
ZnCd3Rh
1.0
-4.4372 2.1331 -1.6432
1.3378 -1.0024 -4.9137
-2.3368 -4.6243 0.3072
Zn Rh Cd
1 1 3
Cartesian
-2.7181 -1.7468 -3.1249 Zn
0.0000 0.0000 0.0000 Rh
0.6689 -0.5012 -2.4569 Cd
-1.1684 -2.3121 0.1536 Cd
-2.2186 1.0666 -0.8216 Cd
```

Computed properties:
calculated volume	140	Å³/cell
distance to the lowest polymorph of the same formula	0	meV/atom
M_tot	0.00	μB per cell
E_form	310	meV per atom
DOS at the Fermi energy	1.72	states/eV/cell
crystal system	cubic
DFT total energy	-9.82	eV for the cell shown

---

(2)
Here is a geometry-optimized Zn4CdRh5 structure from Alexandria via LeMat-Bulk. Energies are from PBE-GGA.

POSCAR file:
```
Zn4CdRh5
1.0
-2.3802 1.3063 1.3831
-1.6145 -2.5588 -0.3615
5.1297 -5.1740 13.7145
Zn Cd Rh
4 1 5
Cartesian
1.0850 -1.0943 2.9007 Zn
2.0714 -2.0894 5.5381 Zn
3.0582 -3.0847 8.1764 Zn
4.0447 -4.0797 10.8138 Zn
0.0000 0.0000 0.0000 Cd
-1.3965 -1.2323 2.1172 Rh
-0.4175 -2.2198 4.7347 Rh
0.5675 -3.2132 7.3680 Rh
1.5525 -4.2067 10.0014 Rh
2.5315 -5.1942 12.6189 Rh
```

Computed properties:
calculated volume	144	Å³/cell
M_tot	0.00	μB per cell
E_form	-313	meV per atom
DOS at the Fermi energy	10.97	states/eV/cell
crystal system	tetragonal
DFT total energy	-45.90	eV for the cell shown

---

(3)
Here is a geometry-optimized Zn2CdRh structure from Alexandria via LeMat-Bulk. Energies are from PBE-GGA.

POSCAR file:
```
Zn2CdRh
1.0
-4.5963 -2.2069 0.1514
-2.6088 -3.6497 -2.4277
-0.0096 -3.5429 1.9745
Zn Rh Cd
2 1 1
Cartesian
-7.1687 -5.8490 -2.2525 Zn
-5.3588 -7.0308 -0.1967 Zn
-1.8760 -2.3693 -0.1203 Rh
-3.6237 -4.7069 -0.1595 Cd
```

Computed properties:
calculated volume	63	Å³/cell
M_tot	0.00	μB per cell
E_form	-189	meV per atom
DOS at the Fermi energy	1.35	states/eV/cell
crystal system	monoclinic
DFT total energy	-11.57	eV for the cell shown

---

(4)
Here is a geometry-optimized ZnCd3Rh structure from Alexandria via LeMat-Bulk. Energies are from PBE-GGA.

POSCAR file:
```
ZnCd3Rh
1.0
-2.5142 -3.1327 -2.7429
4.0796 -2.4944 -0.8906
-0.8330 -2.7609 3.9169
Zn Rh Cd
1 1 3
Cartesian
0.0000 0.0000 0.0000 Zn
0.3662 -4.1940 0.1417 Rh
2.0398 -1.2472 -0.4453 Cd
-0.4165 -1.3804 1.9584 Cd
-1.2571 -1.5664 -1.3714 Cd
```

Computed properties:
calculated volume	115	Å³/cell
distance to the lowest polymorph of the same formula	396	meV/atom
M_tot	0.00	μB per cell
E_form	707	meV per atom
DOS at the Fermi energy	4.42	states/eV/cell
crystal system	cubic
DFT total energy	-7.84	eV for the cell shown

---

(5)
Here is a geometry-optimized Zn2CdRh structure from Alexandria via LeMat-Bulk. Energies are from PBE-GGA.

POSCAR file:
```
Zn2CdRh
1.0
-0.9028 -2.7140 2.6827
3.0445 -2.1743 -1.1751
6.4465 1.7902 6.8463
Zn Rh Cd
4 2 2
Cartesian
1.4655 -1.4076 3.1298 Zn
3.3640 -1.3636 1.4241 Zn
5.7647 -0.5809 5.6512 Zn
6.5822 -2.8441 6.5028 Zn
1.0709 -2.4441 0.7538 Rh
5.2810 -1.4141 3.2125 Rh
0.0000 0.0000 0.0000 Cd
3.3073 -1.6840 5.1414 Cd
```

Computed properties:
calculated volume	141	Å³/cell
M_tot	0.00	μB per cell
E_form	50	meV per atom
DOS at the Fermi energy	2.62	states/eV/cell
crystal system	tetragonal
DFT total energy	-21.23	eV for the cell shown

---

(6)
Here is a geometry-optimized ZnCd2Rh2 structure from Alexandria via LeMat-Bulk. Energies are from PBE-GGA.

POSCAR file:
```
ZnCd2Rh2
1.0
-0.2428 -2.5747 -6.9030
0.3257 -6.9038 2.5635
-3.2688 -0.0980 0.1515
Zn Rh Cd
2 4 4
Cartesian
0.0000 0.0000 0.0000 Zn
0.0415 -4.7392 -2.1698 Zn
-1.4585 -4.9929 0.6744 Rh
-1.5196 -7.5586 -2.3024 Rh
-1.7274 -4.5835 -4.8624 Rh
-1.6663 -2.0178 -1.8856 Rh
0.1926 -6.8543 -0.2760 Cd
0.0002 -6.6371 -4.2861 Cd
-0.1097 -2.6241 -4.0635 Cd
0.0827 -2.8413 -0.0534 Cd
```

Computed properties:
calculated volume	178	Å³/cell
distance to the lowest polymorph of the same formula	301	meV/atom
M_tot	0.00	μB per cell
E_form	134	meV per atom
DOS at the Fermi energy	4.03	states/eV/cell
crystal system	tetragonal
DFT total energy	-34.28	eV for the cell shown

---

(7)
Here is a geometry-optimized Zn2CdRh structure from Alexandria via LeMat-Bulk. Energies are from PBE-GGA.

POSCAR file:
```
Zn2CdRh
1.0
3.1803 0.0000 0.0000
0.0000 3.1486 0.0050
0.0000 3.1078 6.3979
Cd Rh Zn
1 1 2
Cartesian
1.5902 1.5641 1.6007 Cd
1.5902 4.6923 4.8022 Rh
0.0000 3.1144 6.1570 Zn
0.0000 3.1215 3.4424 Zn
```

Computed properties:
calculated volume	64	Å³/cell
M_tot	0.00	μB per cell
E_form	-186	meV per atom
DOS at the Fermi energy	1.61	states/eV/cell
crystal system	monoclinic
DFT total energy	-11.56	eV for the cell shown

---

(8)
Here is a geometry-optimized Zn5CdRh6 structure from Alexandria via LeMat-Bulk. Energies are from PBE-GGA.

POSCAR file:
```
Zn5CdRh6
1.0
-3.3614 2.4835 1.1023
-3.8195 -3.8935 -2.8751
2.8993 -2.6613 6.3634
Zn Rh Cd
5 6 1
Cartesian
-1.9039 0.1546 2.3199 Zn
-0.4576 -2.2292 3.6268 Zn
-1.9097 -1.9468 -1.4375 Zn
-3.8239 -1.8422 0.9638 Zn
-2.3777 -4.2260 2.2707 Zn
-3.0540 -1.9053 3.4537 Rh
-1.2147 -0.0303 4.8383 Rh
-4.4797 -1.6115 -1.5557 Rh
-2.7012 0.2014 -0.2170 Rh
-3.0669 -4.0411 -0.2477 Rh
-1.2276 -2.1661 1.1369 Rh
0.0000 0.0000 0.0000 Cd
```

Computed properties:
calculated volume	172	Å³/cell
M_tot	0.00	μB per cell
E_form	-303	meV per atom
DOS at the Fermi energy	11.76	states/eV/cell
crystal system	orthorhombic
DFT total energy	-55.03	eV for the cell shown

---

(9)
Here is a geometry-optimized Zn2CdRh structure from Alexandria via LeMat-Bulk. Energies are from PBE-GGA.

POSCAR file:
```
Zn2CdRh
1.0
2.8375 -0.0376 0.0000
-1.1241 2.6056 0.0000
0.0000 0.0000 8.8985
Cd Rh Zn
1 1 2
Cartesian
0.0000 0.0000 4.5226 Cd
0.8567 1.2840 6.8355 Rh
0.0000 0.0000 8.8244 Zn
0.8567 1.2840 2.0639 Zn
```

Computed properties:
calculated volume	65	Å³/cell
M_tot	0.00	μB per cell
E_form	19	meV per atom
DOS at the Fermi energy	1.46	states/eV/cell
crystal system	orthorhombic
DFT total energy	-10.74	eV for the cell shown

---

(10)
Here is a geometry-optimized Zn4CdRh3 structure from Alexandria via LeMat-Bulk. Energies are from PBE-GGA.

POSCAR file:
```
Zn4CdRh3
1.0
-3.3121 2.4972 -1.1911
-2.3926 -0.4107 5.7919
4.4499 7.0161 2.3357
Zn Rh Cd
8 6 2
Cartesian
-3.4958 0.9328 3.8581 Zn
-1.2709 4.4409 5.0260 Zn
-2.2088 1.1537 0.7426 Zn
0.0161 4.6618 1.9105 Zn
-1.8123 7.4418 5.0153 Zn
-0.7295 1.4399 5.0370 Zn
0.5576 1.6608 1.9212 Zn
-0.5252 7.6628 1.8995 Zn
0.0000 0.0000 0.0000 Rh
2.2250 3.5080 1.1678 Rh
1.6832 6.5093 1.1569 Rh
-0.5454 3.0040 -0.0123 Rh
0.4867 6.3041 4.0527 Rh
-1.7414 2.7985 2.8837 Rh
-1.1963 -0.2053 2.8959 Cd
1.0287 3.3027 4.0638 Cd
```

Computed properties:
calculated volume	234	Å³/cell
M_tot	0.00	μB per cell
E_form	-328	meV per atom
DOS at the Fermi energy	4.67	states/eV/cell
crystal system	tetragonal
DFT total energy	-61.37	eV for the cell shown

---

(11)
Here is a geometry-optimized Zn2CdRh structure from Alexandria via LeMat-Bulk. Energies are from PBE-GGA.

POSCAR file:
```
Zn2CdRh
1.0
9.4213 0.0351 0.0206
8.9685 2.8859 0.0206
8.9685 1.4246 2.5099
Cd Rh Zn
1 1 2
Cartesian
6.8395 1.0864 0.6378 Cd
20.5186 3.2592 1.9133 Rh
0.3196 0.0508 0.0298 Zn
13.3595 2.1220 1.2458 Zn
```

Computed properties:
calculated volume	67	Å³/cell
M_tot	0.02	μB per cell
E_form	-70	meV per atom
DOS at the Fermi energy	2.65	states/eV/cell
crystal system	trigonal
DFT total energy	-11.10	eV for the cell shown

---

(12)
Here is a geometry-optimized ZnCdRh4 structure from Alexandria via LeMat-Bulk. Energies are from PBE-GGA.

POSCAR file:
```
ZnCdRh4
1.0
0.0000 3.6508 3.6508
3.6508 0.0000 3.6508
3.6508 3.6508 0.0000
Zn Cd Rh
1 1 4
Cartesian
5.4762 5.4762 5.4762 Zn
0.0000 0.0000 0.0000 Cd
2.7396 4.5621 4.5621 Rh
4.5621 4.5621 2.7396 Rh
4.5621 2.7396 4.5621 Rh
2.7396 2.7396 2.7396 Rh
```

Computed properties:
calculated volume	97	Å³/cell
M_tot	0.12	μB per cell
E_form	128	meV per atom
DOS at the Fermi energy	9.60	states/eV/cell
crystal system	cubic
DFT total energy	-30.83	eV for the cell shown

---

(13)
Here is a geometry-optimized Zn2CdRh structure from Alexandria via LeMat-Bulk. Energies are from PBE-GGA.

POSCAR file:
```
Zn2CdRh
1.0
-1.5842 -1.4457 4.0477
-1.9935 -2.8526 -2.9786
2.3758 -1.9166 0.2453
Cd Rh Zn
1 1 2
Cartesian
0.3958 -1.6811 2.1465 Cd
0.1912 -2.3846 -1.3667 Rh
0.0000 0.0000 0.0000 Zn
-1.7889 -2.1491 0.5345 Zn
```

Computed properties:
calculated volume	63	Å³/cell
M_tot	0.00	μB per cell
E_form	-142	meV per atom
DOS at the Fermi energy	1.64	states/eV/cell
crystal system	orthorhombic
DFT total energy	-11.38	eV for the cell shown

---

(14)
Here is a geometry-optimized Zn4CdRh structure from Alexandria via LeMat-Bulk. Energies are from PBE-GGA.

POSCAR file:
```
Zn4CdRh
1.0
2.6700 -3.8923 1.7572
-0.0108 -1.0414 4.9277
-2.3615 -4.1110 1.6999
Zn Cd Rh
4 1 1
Cartesian
1.4535 -5.3422 4.0220 Zn
-1.0755 -5.4522 3.9932 Zn
0.1060 -3.9092 5.6157 Zn
0.1114 -3.3858 3.1388 Zn
0.2233 -6.7835 6.2886 Cd
0.0000 0.0000 0.0000 Rh
```

Computed properties:
calculated volume	90	Å³/cell
M_tot	0.00	μB per cell
E_form	-98	meV per atom
DOS at the Fermi energy	3.25	states/eV/cell
crystal system	cubic
DFT total energy	-13.95	eV for the cell shown

---

(15)
Here is a geometry-optimized Zn2CdRh structure from Alexandria via LeMat-Bulk. Energies are from PBE-GGA.

POSCAR file:
```
Zn2CdRh
1.0
4.1571 0.0000 0.0000
0.0000 2.9147 0.0074
0.0000 1.4387 5.2077
Cd Rh Zn
1 1 2
Cartesian
0.0000 1.9954 2.5104 Cd
2.0785 3.4457 4.1483 Rh
0.0000 1.9829 5.0802 Zn
2.0785 0.5449 1.2916 Zn
```

Computed properties:
calculated volume	63	Å³/cell
M_tot	0.00	μB per cell
E_form	-141	meV per atom
DOS at the Fermi energy	1.21	states/eV/cell
crystal system	orthorhombic
DFT total energy	-11.38	eV for the cell shown

---

(16)
Here is a geometry-optimized ZrCd3Rh structure from Alexandria via LeMat-Bulk. Energies are from PBE-GGA.

POSCAR file:
```
ZrCd3Rh
1.0
5.4438 0.0000 0.0000
0.0000 5.4438 0.0000
0.0000 0.0000 5.4438
Rh Zr Cd
1 1 3
Cartesian
2.7219 2.7219 2.7219 Rh
0.0000 0.0000 0.0000 Zr
0.0000 2.7219 0.0000 Cd
0.0000 0.0000 2.7219 Cd
2.7219 0.0000 0.0000 Cd
```

Computed properties:
calculated volume	161	Å³/cell
distance to the lowest polymorph of the same formula	949	meV/atom
M_tot	0.01	μB per cell
E_form	1484	meV per atom
DOS at the Fermi energy	7.17	states/eV/cell
crystal system	cubic
DFT total energy	-11.22	eV for the cell shown

---

(17)
Here is a geometry-optimized ZrCd2Rh structure from Alexandria via LeMat-Bulk. Energies are from PBE-GGA.

POSCAR file:
```
ZrCd2Rh
1.0
-5.0681 2.9692 -5.4781
-6.1063 -0.9612 5.1283
-5.1798 3.4348 0.7658
Rh Zr Cd
2 2 4
Cartesian
0.0000 0.0000 0.0000 Rh
-7.9176 3.7040 -2.4436 Rh
-5.5872 1.0040 -0.1749 Zr
-8.4367 1.7388 2.8596 Zr
-5.4310 2.7145 -2.8131 Cd
-5.5398 0.5089 2.9337 Cd
-7.8281 3.3680 0.2356 Cd
-13.9097 4.2942 0.4759 Cd
```

Computed properties:
calculated volume	170	Å³/cell
M_tot	0.00	μB per cell
E_form	122	meV per atom
DOS at the Fermi energy	6.99	states/eV/cell
crystal system	tetragonal
DFT total energy	-34.48	eV for the cell shown

---

(18)
Here is a geometry-optimized ZrCd2Rh structure from Alexandria via LeMat-Bulk. Energies are from PBE-GGA.

POSCAR file:
```
ZrCd2Rh
1.0
-1.7073 -1.9767 1.5178
-1.2453 -1.8738 -3.8409
4.4057 -3.5662 0.3114
Cd Rh Zr
2 1 1
Cartesian
0.0553 -0.0448 0.0039 Cd
2.1475 -1.7383 0.1518 Cd
-0.3748 -2.8168 -1.0837 Rh
1.8280 -4.5999 -0.9280 Zr
```

Computed properties:
calculated volume	76	Å³/cell
M_tot	0.00	μB per cell
E_form	-134	meV per atom
DOS at the Fermi energy	3.39	states/eV/cell
crystal system	orthorhombic
DFT total energy	-18.27	eV for the cell shown

---

(19)
Here is a geometry-optimized Zr3CdRh structure from Alexandria via LeMat-Bulk. Energies are from PBE-GGA.

POSCAR file:
```
Zr3CdRh
1.0
-3.2237 -0.2066 3.8628
-2.4667 -3.7635 -2.2599
2.9798 -3.3391 2.3082
Rh Zr Cd
1 3 1
Cartesian
0.0000 0.0000 0.0000 Rh
-1.2334 -1.8818 -1.1300 Zr
1.4899 -1.6695 1.1541 Zr
-1.6118 -0.1033 1.9314 Zr
-1.3553 -3.6546 1.9555 Cd
```

Computed properties:
calculated volume	128	Å³/cell
distance to the lowest polymorph of the same formula	0	meV/atom
M_tot	0.00	μB per cell
E_form	188	meV per atom
DOS at the Fermi energy	8.25	states/eV/cell
crystal system	cubic
DFT total energy	-32.97	eV for the cell shown

---

(20)
Here is a geometry-optimized ZrCd2Rh structure from Alexandria via LeMat-Bulk. Energies are from PBE-GGA.

POSCAR file:
```
ZrCd2Rh
1.0
5.2302 0.0344 0.0000
1.8198 4.9036 0.0000
-3.5250 -2.4690 2.9724
Cd Rh Zr
2 1 1
Cartesian
0.0000 0.0000 0.0000 Cd
3.5250 2.4690 0.0000 Cd
0.9099 2.4518 1.4862 Rh
2.6151 0.0172 1.4862 Zr
```

Computed properties:
calculated volume	76	Å³/cell
M_tot	0.00	μB per cell
E_form	-174	meV per atom
DOS at the Fermi energy	2.84	states/eV/cell
crystal system	tetragonal
DFT total energy	-18.43	eV for the cell shown